Material: Hf2P2Cl
Method: DFT, GGA-PBE
State: optimized geometry

Cell: 7.239 7.239 3.404 Å, 90.00 90.00 90.00°
Sites, in units of the cell vectors:
Hf1 0.152 0.348 0.000
Hf2 0.348 0.848 0.000
Hf3 0.652 0.152 0.000
Hf4 0.848 0.652 0.000
P1 0.137 0.637 0.500
P2 0.363 0.137 0.500
P3 0.637 0.863 0.500
P4 0.863 0.363 0.500
Cl1 0.000 0.000 0.000
Cl2 0.500 0.500 0.000

D(E_F), states/eV per atom: 0.25
VASP energy, eV per formula unit: -38.2

---

Material: MgBeCo2
Method: DFT, GGA-PBE
State: optimized geometry

Cell: 3.058 3.844 3.959 Å, 90.00 90.00 90.00°
Sites, in units of the cell vectors:
Mg1 0.000 0.000 0.000
Be1 0.500 0.000 0.500
Co1 0.000 0.500 0.500
Co2 0.500 0.500 0.000

D(E_F), states/eV per atom: 0.93
Energy relative to the elements, meV per atom: 152
Polymorph energy (0 for the lowest one), meV/atom: 161

---

Material: Ho2Mg3TaN6
Method: DFT, GGA-PBE
State: optimized geometry

Cell: 5.710 5.710 5.500 Å, 99.85 99.85 120.15°
Sites, in units of the cell vectors:
Ho1 0.167 0.833 0.000
Ho2 0.833 0.167 0.000
Mg1 0.000 0.000 0.500
Mg2 0.340 0.660 0.500
Mg3 0.660 0.340 0.500
Ta1 0.500 0.500 0.000
N1 0.113 0.420 0.756
N2 0.270 0.270 0.236
N3 0.420 0.113 0.756
N4 0.580 0.887 0.244
N5 0.730 0.730 0.764
N6 0.887 0.580 0.244

D(E_F), states/eV per atom: 0.55
VASP energy, eV per formula unit: -89.0

---

Material: BaCu2Te
Method: DFT, GGA-PBE
State: optimized geometry

Cell: 4.718 4.718 4.651 Å, 90.00 90.00 90.00°
Sites, in units of the cell vectors:
Ba1 0.000 0.000 0.000
Cu1 0.000 0.500 0.500
Cu2 0.500 0.000 0.500
Te1 0.500 0.500 0.000

D(E_F), states/eV per atom: 0.66
VASP energy, eV per formula unit: -13.1

---

Material: ZrTe3F
Method: DFT, GGA-PBE
State: optimized geometry

Cell: 5.492 5.492 5.492 Å, 90.00 90.00 90.00°
Sites, in units of the cell vectors:
Zr1 0.000 0.000 0.000
Te1 0.000 0.000 0.500
Te2 0.000 0.500 0.000
Te3 0.500 0.000 0.000
F1 0.500 0.500 0.500

D(E_F), states/eV per atom: 1.79
Polymorph energy (0 for the lowest one), meV/atom: 0

---

Material: PaCo4Ru
Method: DFT, GGA-PBE
State: optimized geometry

Cell: 4.879 4.879 4.879 Å, 60.00 60.00 60.00°
Sites, in units of the cell vectors:
Pa1 0.000 0.000 0.000
Co1 0.376 0.376 0.376
Co2 0.376 0.376 0.872
Co3 0.376 0.872 0.376
Co4 0.872 0.376 0.376
Ru1 0.750 0.750 0.750

D(E_F), states/eV per atom: 1.79
Energy relative to the elements, meV per atom: -108

---

Material: Ti4MoIr5
Method: DFT, GGA-PBE
State: optimized geometry

Cell: 2.890 2.890 18.041 Å, 90.00 90.00 90.00°
Sites, in units of the cell vectors:
Ti1 0.000 0.000 0.098
Ti2 0.000 0.000 0.295
Ti3 0.000 0.000 0.705
Ti4 0.000 0.000 0.902
Mo1 0.000 0.000 0.500
Ir1 0.500 0.500 0.000
Ir2 0.500 0.500 0.196
Ir3 0.500 0.500 0.396
Ir4 0.500 0.500 0.604
Ir5 0.500 0.500 0.804

D(E_F), states/eV per atom: 0.93
Energy relative to the elements, meV per atom: -708

---

Material: La4Ru2W
Method: DFT, GGA-PBE
State: optimized geometry

Cell: 7.699 7.699 7.699 Å, 137.08 137.08 62.31°
Sites, in units of the cell vectors:
La1 0.000 0.500 0.500
La2 0.214 0.214 0.000
La3 0.500 0.000 0.500
La4 0.786 0.786 0.000
Ru1 0.392 0.392 0.000
Ru2 0.608 0.608 0.000
W1 0.000 0.000 0.000

D(E_F), states/eV per atom: 0.53
Energy relative to the elements, meV per atom: 413

---

Material: Pm2Al3Pt
Method: DFT, GGA-PBE
State: optimized geometry

Cell: 5.513 5.513 5.513 Å, 61.40 61.40 61.40°
Sites, in units of the cell vectors:
Pm1 0.125 0.125 0.125
Pm2 0.875 0.875 0.875
Al1 0.000 0.500 0.500
Al2 0.500 0.000 0.500
Al3 0.500 0.500 0.000
Pt1 0.500 0.500 0.500

D(E_F), states/eV per atom: 0.45
Energy relative to the elements, meV per atom: -759

---

Material: CuSi2Rh
Method: DFT, GGA-PBE
State: optimized geometry

Cell: 2.937 4.088 4.659 Å, 90.00 94.87 90.00°
Sites, in units of the cell vectors:
Cu1 0.000 0.000 0.000
Si1 0.326 0.500 0.230
Si2 0.674 0.500 0.770
Rh1 0.500 0.000 0.500

D(E_F), states/eV per atom: 0.43
VASP energy, eV per formula unit: -22.8

---

Material: Fe2ReRu
Method: DFT, GGA-PBE
State: optimized geometry

Cell: 2.614 2.614 8.459 Å, 90.00 90.00 110.91°
Sites, in units of the cell vectors:
Fe1 0.000 0.000 0.249
Fe2 0.000 0.000 0.751
Re1 0.500 0.500 0.500
Ru1 0.500 0.500 0.000

D(E_F), states/eV per atom: 1.15
Energy relative to the elements, meV per atom: 214

---

Material: MgFe2TcAu
Method: DFT, GGA-PBE
State: optimized geometry

Cell: 4.417 4.417 5.194 Å, 90.00 90.00 90.00°
Sites, in units of the cell vectors:
Mg1 0.000 0.000 0.000
Fe1 0.000 0.500 0.500
Fe2 0.500 0.000 0.500
Tc1 0.500 0.500 0.500
Au1 0.500 0.500 0.000

D(E_F), states/eV per atom: 1.49
Energy relative to the elements, meV per atom: 1043

---

Material: Tl2Ga2Sn
Method: DFT, GGA-PBE
State: optimized geometry

Cell: 7.367 7.367 7.367 Å, 144.15 144.15 51.60°
Sites, in units of the cell vectors:
Tl1 0.250 0.750 0.500
Tl2 0.750 0.250 0.500
Ga1 0.094 0.094 0.000
Ga2 0.906 0.906 0.000
Sn1 0.500 0.500 0.000

D(E_F), states/eV per atom: 0.50
Energy relative to the elements, meV per atom: 197
Polymorph energy (0 for the lowest one), meV/atom: 144

---

Material: Ac4PmTm
Method: DFT, GGA-PBE
State: optimized geometry

Cell: 7.141 7.141 7.141 Å, 60.00 60.00 60.00°
Sites, in units of the cell vectors:
Ac1 0.376 0.376 0.376
Ac2 0.376 0.376 0.873
Ac3 0.376 0.873 0.376
Ac4 0.873 0.376 0.376
Pm1 0.000 0.000 0.000
Tm1 0.750 0.750 0.750

D(E_F), states/eV per atom: 1.61
Energy relative to the elements, meV per atom: 375
Polymorph energy (0 for the lowest one), meV/atom: 215

---

Material: PrEr2Ru
Method: DFT, GGA-PBE
State: optimized geometry

Cell: 7.352 9.219 6.404 Å, 90.00 90.00 90.00°
Sites, in units of the cell vectors:
Pr1 0.040 0.250 0.133
Pr2 0.460 0.750 0.633
Pr3 0.540 0.250 0.367
Pr4 0.960 0.750 0.867
Er1 0.176 0.066 0.666
Er2 0.176 0.434 0.666
Er3 0.324 0.566 0.166
Er4 0.324 0.934 0.166
Er5 0.676 0.066 0.834
Er6 0.676 0.434 0.834
Er7 0.824 0.566 0.334
Er8 0.824 0.934 0.334
Ru1 0.115 0.750 0.444
Ru2 0.385 0.250 0.944
Ru3 0.615 0.750 0.056
Ru4 0.885 0.250 0.556

D(E_F), states/eV per atom: 0.92
Energy relative to the elements, meV per atom: -285
Polymorph energy (0 for the lowest one), meV/atom: 0

---

Material: SiPtCN2
Method: DFT, GGA-PBE
State: optimized geometry

Cell: 3.246 3.246 7.047 Å, 90.00 90.00 90.00°
Sites, in units of the cell vectors:
Si1 0.000 0.000 0.000
Pt1 0.000 0.000 0.500
C1 0.500 0.500 0.500
N1 0.000 0.500 0.000
N2 0.500 0.000 0.000

D(E_F), states/eV per atom: 0.59
VASP energy, eV per formula unit: -30.7

---

Material: Ba4Br2O
Method: DFT, GGA-PBE
State: optimized geometry

Cell: 8.739 8.739 8.739 Å, 141.09 141.09 56.20°
Sites, in units of the cell vectors:
Ba1 0.000 0.500 0.500
Ba2 0.180 0.180 0.000
Ba3 0.500 0.000 0.500
Ba4 0.820 0.820 0.000
Br1 0.391 0.391 0.000
Br2 0.609 0.609 0.000
O1 0.000 0.000 0.000

D(E_F), states/eV per atom: 0.80
VASP energy, eV per formula unit: -26.0

---

Material: NbAu3C
Method: DFT, GGA-PBE
State: optimized geometry

Cell: 4.371 4.371 4.371 Å, 90.00 90.00 90.00°
Sites, in units of the cell vectors:
Nb1 0.000 0.000 0.000
Au1 0.000 0.500 0.500
Au2 0.500 0.000 0.500
Au3 0.500 0.500 0.000
C1 0.500 0.500 0.500

D(E_F), states/eV per atom: 0.71
Energy relative to the elements, meV per atom: 947
Polymorph energy (0 for the lowest one), meV/atom: 0

---

Material: KCuPb2
Method: DFT, GGA-PBE
State: optimized geometry

Cell: 5.339 5.339 5.339 Å, 60.00 60.00 60.00°
Sites, in units of the cell vectors:
K1 0.000 0.000 0.000
Cu1 0.500 0.500 0.500
Pb1 0.250 0.250 0.250
Pb2 0.750 0.750 0.750

D(E_F), states/eV per atom: 0.08
Energy relative to the elements, meV per atom: 262

---

Material: BaNaBi4
Method: DFT, GGA-PBE
State: optimized geometry

Cell: 6.757 6.757 6.757 Å, 60.00 60.00 60.00°
Sites, in units of the cell vectors:
Ba1 0.000 0.000 0.000
Na1 0.250 0.250 0.250
Bi1 0.127 0.624 0.624
Bi2 0.624 0.127 0.624
Bi3 0.624 0.624 0.127
Bi4 0.624 0.624 0.624

D(E_F), states/eV per atom: 1.14
Energy relative to the elements, meV per atom: -343
Polymorph energy (0 for the lowest one), meV/atom: 0